A geometry-optimized ZnWSe2 structure. Source: the Alexandria database, functional GGA-PBE.

Summary:
For the raw formation energy, the calculation gives 0.3793 eV/atom. As for the space group: Cmmm (65). The calculation puts the size of the total moment at 0.0 μB/f.u.

Cell lengths 2.968, 2.968, 10.246 Å; angles 90.00, 90.00, 115.79 degrees
Sites, in units of the cell vectors:
Zn  0.000  0.000  0.000
W  0.000  0.000  0.500
Se  0.500  0.500  0.299
Se  0.500  0.500  0.701

A geometry-optimized ZnWSe2 structure. Source: the Alexandria database, functional GGA-PBE.

Summary:
For the raw formation energy, the calculation gives 0.9187 eV/atom. As for the space group: F-43m (216). The calculation puts the size of the total moment at 1.6 μB/f.u.

Cell lengths 4.657, 4.657, 4.657 Å; angles 60.00, 60.00, 60.00 degrees
Sites, in units of the cell vectors:
Zn  0.000  0.000  0.000
W  0.250  0.250  0.250
Se  0.500  0.500  0.500
Se  0.750  0.750  0.750

A geometry-optimized ZrW2Se structure. Source: the Alexandria database, functional GGA-PBE.

Summary:
For the raw formation energy, the calculation gives 0.3962 eV/atom. As for the space group: I-4m2 (119). The calculation puts the size of the total moment at 0.0 μB/f.u.

Cell lengths 4.837, 4.837, 4.837 Å; angles 126.43, 126.43, 79.18 degrees
Sites, in units of the cell vectors:
Zr  0.000  0.000  0.000
W  0.500  0.500  0.000
W  0.750  0.250  0.500
Se  0.250  0.750  0.500

A geometry-optimized ZrW2Se structure. Source: the Alexandria database, functional GGA-PBE.

Summary:
For the raw formation energy, the calculation gives 0.2234 eV/atom. As for the space group: P2/m (10). The calculation puts the size of the total moment at 0.0 μB/f.u.

Cell lengths 3.180, 5.013, 4.568 Å; angles 90.00, 91.38, 90.00 degrees
Sites, in units of the cell vectors:
Zr  0.000  0.000  0.000
W  0.297  0.500  0.754
W  0.703  0.500  0.246
Se  0.500  0.000  0.500

A geometry-optimized ZrW2Se structure. Source: the Alexandria database, functional GGA-PBE.

Summary:
For the raw formation energy, the calculation gives 0.4234 eV/atom. As for the space group: Cmmm (65). The calculation puts the size of the total moment at 0.0 μB/f.u.

Cell lengths 5.200, 5.200, 3.068 Å; angles 90.00, 90.00, 119.54 degrees
Sites, in units of the cell vectors:
Zr  0.000  0.000  0.000
W  0.000  0.500  0.500
W  0.500  0.000  0.500
Se  0.500  0.500  0.000

A geometry-optimized ZrWSe2 structure. Source: the Alexandria database, functional GGA-PBE.

Summary:
As for the relative energy among the computed polymorphs: 95.7 meV per atom. For the raw formation energy, the calculation gives -0.3257 eV/atom. As for the space group: Cm (8). The calculation puts the size of the total moment at 0.0 μB/f.u.

Cell lengths 4.903, 4.903, 4.871 Å; angles 103.85, 103.85, 39.88 degrees
Sites, in units of the cell vectors:
Zr  0.000  0.000  0.000
W  0.241  0.241  0.618
Se  0.514  0.514  0.532
Se  0.743  0.743  0.180

A geometry-optimized ZrW2Se structure. Source: the Alexandria database, functional GGA-PBE.

Summary:
For the raw formation energy, the calculation gives 0.4005 eV/atom. As for the space group: Pmmm (47). The calculation puts the size of the total moment at 0.0 μB/f.u.

Cell lengths 3.035, 4.522, 5.247 Å; angles 90.00, 90.00, 90.00 degrees
Sites, in units of the cell vectors:
Zr  0.000  0.000  0.000
W  0.500  0.500  0.253
W  0.500  0.500  0.747
Se  0.000  0.000  0.500

A geometry-optimized ZrWSe2 structure. Source: the Alexandria database, functional GGA-PBE.

Summary:
As for the relative energy among the computed polymorphs: 578.9 meV per atom. For the raw formation energy, the calculation gives 0.1574 eV/atom. As for the space group: Cmmm (65). The calculation puts the size of the total moment at 0.0 μB/f.u.

Cell lengths 3.336, 3.336, 8.273 Å; angles 90.00, 90.00, 121.79 degrees
Sites, in units of the cell vectors:
Zr  0.000  0.000  0.000
W  0.000  0.000  0.500
Se  0.500  0.500  0.262
Se  0.500  0.500  0.738

A geometry-optimized ZrWSe2 structure. Source: the Alexandria database, functional GGA-PBE.

Summary:
As for the relative energy among the computed polymorphs: 507.1 meV per atom. For the raw formation energy, the calculation gives 0.0857 eV/atom. As for the space group: I-4m2 (119). The calculation puts the size of the total moment at 0.0 μB/f.u.

Cell lengths 6.027, 6.027, 6.027 Å; angles 144.08, 144.08, 51.71 degrees
Sites, in units of the cell vectors:
Zr  0.000  0.000  0.000
W  0.750  0.250  0.500
Se  0.250  0.750  0.500
Se  0.500  0.500  0.000

A geometry-optimized ZrWSe structure. Source: the Alexandria database, functional GGA-PBE.

Summary:
As for the relative energy among the computed polymorphs: 0.0 meV per atom. For the raw formation energy, the calculation gives -0.6482 eV/atom. As for the space group: P4/nmm (129). The calculation puts the size of the total moment at 0.0 μB/f.u.

Cell lengths 3.465, 3.465, 10.068 Å; angles 90.00, 90.00, 90.00 degrees
Sites, in units of the cell vectors:
Zr  0.250  0.250  0.239
Zr  0.750  0.750  0.761
W  0.250  0.250  0.932
W  0.750  0.750  0.068
Se  0.250  0.250  0.647
Se  0.750  0.750  0.353

A geometry-optimized ZrW2Se structure. Source: the Alexandria database, functional GGA-PBE.

Summary:
For the raw formation energy, the calculation gives 0.0412 eV/atom. As for the space group: P4mm (99). The calculation puts the size of the total moment at 0.0 μB/f.u.

Cell lengths 3.269, 3.269, 6.772 Å; angles 90.00, 90.00, 90.00 degrees
Sites, in units of the cell vectors:
Zr  0.000  0.000  0.000
W  0.000  0.000  0.520
W  0.500  0.500  0.717
Se  0.500  0.500  0.252

A geometry-optimized ZrW2Se structure. Source: the Alexandria database, functional GGA-PBE.

Summary:
For the raw formation energy, the calculation gives 0.1766 eV/atom. As for the space group: P4/mmm (123). The calculation puts the size of the total moment at 0.0 μB/f.u.

Cell lengths 3.775, 3.775, 5.031 Å; angles 90.00, 90.00, 90.00 degrees
Sites, in units of the cell vectors:
Zr  0.000  0.000  0.000
W  0.000  0.500  0.500
W  0.500  0.000  0.500
Se  0.500  0.500  0.000

A geometry-optimized ZrWSe2 structure. Source: the Alexandria database, functional GGA-PBE.

Summary:
As for the relative energy among the computed polymorphs: 196.9 meV per atom. For the raw formation energy, the calculation gives -0.2245 eV/atom. As for the space group: Imm2 (44). The calculation puts the size of the total moment at 0.0 μB/f.u.

Cell lengths 5.848, 5.848, 5.848 Å; angles 148.26, 134.22, 56.78 degrees
Sites, in units of the cell vectors:
Zr  0.000  0.000  0.000
W  0.717  0.217  0.500
Se  0.229  0.729  0.500
Se  0.520  0.520  0.000

A geometry-optimized ZrWSe2 structure. Source: the Alexandria database, functional GGA-PBE.

Summary:
As for the relative energy among the computed polymorphs: 168.1 meV per atom. For the raw formation energy, the calculation gives -0.2533 eV/atom. As for the space group: P4/mmm (123). The calculation puts the size of the total moment at 0.5 μB/f.u.

Cell lengths 4.602, 4.602, 3.273 Å; angles 90.00, 90.00, 90.00 degrees
Sites, in units of the cell vectors:
Zr  0.000  0.000  0.000
W  0.500  0.500  0.000
Se  0.000  0.500  0.500
Se  0.500  0.000  0.500

A geometry-optimized ZrW2Se structure. Source: the Alexandria database, functional GGA-PBE.

Summary:
For the raw formation energy, the calculation gives 0.4023 eV/atom. As for the space group: I-42d (122). The calculation puts the size of the total moment at 0.0 μB/f.u.

Cell lengths 10.956, 10.956, 10.956 Å; angles 160.13, 160.13, 28.24 degrees
Sites, in units of the cell vectors:
Zr  0.000  0.000  0.000
Zr  0.750  0.250  0.500
W  0.124  0.625  0.999
W  0.375  0.374  0.499
W  0.626  0.125  0.001
W  0.875  0.876  0.501
Se  0.250  0.750  0.500
Se  0.500  0.500  0.000

A geometry-optimized ZrWSe2 structure. Source: the Alexandria database, functional GGA-PBE.

Summary:
As for the relative energy among the computed polymorphs: 257.0 meV per atom. For the raw formation energy, the calculation gives -0.1644 eV/atom. As for the space group: P2/m (10). The calculation puts the size of the total moment at 0.0 μB/f.u.

Cell lengths 4.412, 3.260, 5.492 Å; angles 90.00, 111.77, 90.00 degrees
Sites, in units of the cell vectors:
Zr  0.000  0.000  0.000
W  0.500  0.500  0.500
Se  0.000  0.000  0.500
Se  0.500  0.500  0.000

A geometry-optimized ZrWSe2 structure. Source: the Alexandria database, functional GGA-PBE.

Summary:
As for the relative energy among the computed polymorphs: 445.1 meV per atom. For the raw formation energy, the calculation gives 0.0237 eV/atom. As for the space group: I-42d (122). The calculation puts the size of the total moment at 0.0 μB/f.u.

Cell lengths 8.534, 8.534, 8.534 Å; angles 147.79, 147.79, 46.20 degrees
Sites, in units of the cell vectors:
Zr  0.000  0.000  0.000
Zr  0.750  0.250  0.500
W  0.250  0.750  0.500
W  0.500  0.500  0.000
Se  0.155  0.625  0.030
Se  0.375  0.405  0.530
Se  0.595  0.125  0.970
Se  0.875  0.845  0.470

A geometry-optimized ZrW3Se structure. Source: the Alexandria database, functional GGA-PBE.

Summary:
As for the relative energy among the computed polymorphs: 0.0 meV per atom. For the raw formation energy, the calculation gives 1.1743 eV/atom. As for the space group: Pm-3m (221). The calculation puts the size of the total moment at 0.0 μB/f.u.

Cell lengths 4.623, 4.623, 4.623 Å; angles 90.00, 90.00, 90.00 degrees
Sites, in units of the cell vectors:
Zr  0.000  0.000  0.000
W  0.000  0.500  0.500
W  0.500  0.000  0.500
W  0.500  0.500  0.000
Se  0.500  0.500  0.500

A geometry-optimized ZrW2Se structure. Source: the Alexandria database, functional GGA-PBE.

Summary:
For the raw formation energy, the calculation gives 0.4766 eV/atom. As for the space group: Cmmm (65). The calculation puts the size of the total moment at 0.0 μB/f.u.

Cell lengths 2.993, 2.993, 8.617 Å; angles 90.00, 90.00, 111.70 degrees
Sites, in units of the cell vectors:
Zr  0.000  0.000  0.000
W  0.500  0.500  0.266
W  0.500  0.500  0.734
Se  0.000  0.000  0.500

A geometry-optimized ZrW2Se structure. Source: the Alexandria database, functional GGA-PBE.

Summary:
For the raw formation energy, the calculation gives 0.4772 eV/atom. As for the space group: R-3m (166). The calculation puts the size of the total moment at 0.0 μB/f.u.

Cell lengths 9.330, 9.330, 9.330 Å; angles 18.48, 18.48, 18.48 degrees
Sites, in units of the cell vectors:
Zr  0.000  0.000  0.000
W  0.240  0.240  0.240
W  0.760  0.760  0.760
Se  0.500  0.500  0.500